1.
# BeAl2Se, relaxed, DFT PBE-GGA
data_BeAl2Se
_symmetry_space_group_name_H-M 'C 1 2/m 1'
_symmetry_Int_Tables_number 12
_symmetry_space_group_name_Hall '-C 2y'
_cell_length_a 11.407
_cell_length_b 2.897
_cell_length_c 4.200
_cell_angle_alpha 90.00
_cell_angle_beta 101.32
_cell_angle_gamma 90.00
loop_
_atom_site_label
_atom_site_fract_x
_atom_site_fract_y
_atom_site_fract_z
_atom_site_occupancy
Be1 0.000 0.000 0.000 1
Al1 0.193 0.500 0.225 1
Se1 0.000 0.500 0.500 1
# Energy above the most stable polymorph in this dataset (meV per atom): 208


2.
# BaSb2, relaxed, DFT PBE-GGA
data_BaSb2
_symmetry_space_group_name_H-M 'P 63/m m c'
_symmetry_Int_Tables_number 194
_symmetry_space_group_name_Hall '-P 6c 2c'
_cell_length_a 5.8606
_cell_length_b 5.8606
_cell_length_c 6.9792
_cell_angle_alpha 90.00
_cell_angle_beta 90.00
_cell_angle_gamma 120.00
loop_
_atom_site_label
_atom_site_fract_x
_atom_site_fract_y
_atom_site_fract_z
_atom_site_occupancy
Ba1 0.3333 0.6667 0.2500 1
Sb1 0.0000 0.0000 0.0000 1
Sb2 0.3333 0.6667 0.7500 1
# VASP energy (eV per cell): -22.76


3.
# Hg2IrRu, relaxed, DFT PBE-GGA
data_Hg2IrRu
_symmetry_space_group_name_H-M 'I 4/m m m'
_symmetry_Int_Tables_number 139
_symmetry_space_group_name_Hall '-I 4 2'
_cell_length_a 4.212
_cell_length_b 4.212
_cell_length_c 7.914
_cell_angle_alpha 90.00
_cell_angle_beta 90.00
_cell_angle_gamma 90.00
loop_
_atom_site_label
_atom_site_fract_x
_atom_site_fract_y
_atom_site_fract_z
_atom_site_occupancy
Hg1 0.000 0.500 0.250 1
Ir1 0.000 0.000 0.000 1
Ru1 0.000 0.000 0.500 1
# Energy above the most stable polymorph in this dataset (meV per atom): 377
# ΔH_f (0 K) (eV/atom): 0.685


4.
# RuAuSe, relaxed, DFT PBE-GGA
data_RuAuSe
_symmetry_space_group_name_H-M 'P 3 m 1'
_symmetry_Int_Tables_number 156
_symmetry_space_group_name_Hall 'P 3 -2"'
_cell_length_a 3.1077
_cell_length_b 3.1077
_cell_length_c 6.7445
_cell_angle_alpha 90.00
_cell_angle_beta 90.00
_cell_angle_gamma 120.00
loop_
_atom_site_label
_atom_site_fract_x
_atom_site_fract_y
_atom_site_fract_z
_atom_site_occupancy
Ru1 0.0000 0.0000 0.0000 1
Au1 0.3333 0.6667 0.6703 1
Se1 0.6667 0.3333 0.2354 1
# Energy above the most stable polymorph in this dataset (meV per atom): 20


5.
# BaCuPt2, relaxed, DFT PBE-GGA
data_BaCuPt2
_symmetry_space_group_name_H-M 'P m m m'
_symmetry_Int_Tables_number 47
_symmetry_space_group_name_Hall '-P 2 2'
_cell_length_a 3.157
_cell_length_b 3.469
_cell_length_c 7.377
_cell_angle_alpha 90.00
_cell_angle_beta 90.00
_cell_angle_gamma 90.00
loop_
_atom_site_label
_atom_site_fract_x
_atom_site_fract_y
_atom_site_fract_z
_atom_site_occupancy
Ba1 0.000 0.000 0.000 1
Cu1 0.000 0.000 0.500 1
Pt1 0.500 0.500 0.316 1
# Energy above the most stable polymorph in this dataset (meV per atom): 382
# ΔH_f (0 K) (eV/atom): -0.108


6.
# Mg2Sb, relaxed, DFT PBE-GGA
data_Mg2Sb
_symmetry_space_group_name_H-M 'R 3 2'
_symmetry_Int_Tables_number 155
_symmetry_space_group_name_Hall 'R 3 2"'
_cell_length_a 5.6488
_cell_length_b 5.6488
_cell_length_c 15.7081
_cell_angle_alpha 90.00
_cell_angle_beta 90.00
_cell_angle_gamma 120.00
loop_
_atom_site_label
_atom_site_fract_x
_atom_site_fract_y
_atom_site_fract_z
_atom_site_occupancy
Mg1 0.0000 0.0000 0.0000 1
Mg2 0.0000 0.3447 0.5000 1
Sb1 0.0000 0.0000 0.3477 1
# VASP energy (eV per cell): -45.19


7.
# Re3Os, relaxed, DFT PBE-GGA
data_Re3Os
_symmetry_space_group_name_H-M 'P 63/m m c'
_symmetry_Int_Tables_number 194
_symmetry_space_group_name_Hall '-P 6c 2c'
_cell_length_a 5.5449
_cell_length_b 5.5449
_cell_length_c 4.4415
_cell_angle_alpha 90.00
_cell_angle_beta 90.00
_cell_angle_gamma 120.00
loop_
_atom_site_label
_atom_site_fract_x
_atom_site_fract_y
_atom_site_fract_z
_atom_site_occupancy
Re1 0.1656 0.3312 0.2500 1
Os1 0.3333 0.6667 0.7500 1
# ΔH_f (0 K) (eV/atom): -0.053


8.
# BeO, relaxed, DFT PBE-GGA
data_BeO
_symmetry_space_group_name_H-M 'P 42/m n m'
_symmetry_Int_Tables_number 136
_symmetry_space_group_name_Hall '-P 4n 2n'
_cell_length_a 4.642
_cell_length_b 4.642
_cell_length_c 2.701
_cell_angle_alpha 90.00
_cell_angle_beta 90.00
_cell_angle_gamma 90.00
loop_
_atom_site_label
_atom_site_fract_x
_atom_site_fract_y
_atom_site_fract_z
_atom_site_occupancy
Be1 0.174 0.174 0.000 1
O1 0.189 0.811 0.000 1
# Energy above the most stable polymorph in this dataset (meV per atom): 12


9.
# CaZnPF, relaxed, DFT PBE-GGA
data_CaZnPF
_symmetry_space_group_name_H-M 'P 4/n m m'
_symmetry_Int_Tables_number 129
_cell_length_a 3.928
_cell_length_b 3.928
_cell_length_c 8.715
_cell_angle_alpha 90.00
_cell_angle_beta 90.00
_cell_angle_gamma 90.00
loop_
_symmetry_equiv_pos_as_xyz
'x,y,z'
'-x,-y,-z'
'-y+1/2,x,z'
'y+1/2,-x,-z'
'-x+1/2,-y+1/2,z'
'x+1/2,y+1/2,-z'
'y,-x+1/2,z'
'-y,x+1/2,-z'
'x+1/2,-y,-z'
'-x+1/2,y,z'
'-y,-x,-z'
'y,x,z'
'-x,y+1/2,-z'
'x,-y+1/2,z'
'y+1/2,x+1/2,-z'
'-y+1/2,-x+1/2,z'
loop_
_atom_site_label
_atom_site_fract_x
_atom_site_fract_y
_atom_site_fract_z
_atom_site_occupancy
Ca1 0.250 0.250 0.151 1
Zn1 0.250 0.750 0.500 1
P1 0.250 0.250 0.674 1
F1 0.250 0.750 0.000 1
# VASP energy (eV per cell): -36.06


10.
# Ac16Pm6Sm7, relaxed, DFT PBE-GGA
data_Ac16Pm6Sm7
_symmetry_space_group_name_H-M 'F m -3 m'
_symmetry_Int_Tables_number 225
_symmetry_space_group_name_Hall '-F 4 2 3'
_cell_length_a 16.985
_cell_length_b 16.985
_cell_length_c 16.985
_cell_angle_alpha 90.00
_cell_angle_beta 90.00
_cell_angle_gamma 90.00
loop_
_atom_site_label
_atom_site_fract_x
_atom_site_fract_y
_atom_site_fract_z
_atom_site_occupancy
Ac1 0.125 0.125 0.125 1
Ac2 0.146 0.146 0.354 1
Pm1 0.000 0.000 0.257 1
Sm1 0.000 0.000 0.000 1
Sm2 0.000 0.250 0.250 1
# ΔH_f (0 K) (eV/atom): 0.199


11.
# YSiRuI2, relaxed, DFT PBE-GGA
data_YSiRuI2
_symmetry_space_group_name_H-M 'P 4/m m m'
_symmetry_Int_Tables_number 123
_symmetry_space_group_name_Hall '-P 4 2'
_cell_length_a 5.900
_cell_length_b 5.900
_cell_length_c 5.224
_cell_angle_alpha 90.00
_cell_angle_beta 90.00
_cell_angle_gamma 90.00
loop_
_atom_site_label
_atom_site_fract_x
_atom_site_fract_y
_atom_site_fract_z
_atom_site_occupancy
Y1 0.000 0.000 0.000 1
Si1 0.500 0.500 0.500 1
Ru1 0.000 0.000 0.500 1
I1 0.000 0.500 0.000 1
# VASP energy (eV per cell): -19.77


12.
# KBa2Na2, relaxed, DFT PBE-GGA
data_KBa2Na2
_symmetry_space_group_name_H-M 'P 4/m b m'
_symmetry_Int_Tables_number 127
_symmetry_space_group_name_Hall '-P 4 2ab'
_cell_length_a 11.478
_cell_length_b 11.478
_cell_length_c 4.335
_cell_angle_alpha 90.00
_cell_angle_beta 90.00
_cell_angle_gamma 90.00
loop_
_atom_site_label
_atom_site_fract_x
_atom_site_fract_y
_atom_site_fract_z
_atom_site_occupancy
K1 0.000 0.000 0.000 1
Ba1 0.131 0.369 0.000 1
Na1 0.162 0.662 0.500 1
# Energy above the most stable polymorph in this dataset (meV per atom): 49
# ΔH_f (0 K) (eV/atom): 0.096


13.
# VNiIrPd, relaxed, DFT PBE-GGA
data_VNiIrPd
_symmetry_space_group_name_H-M 'F -4 3 m'
_symmetry_Int_Tables_number 216
_symmetry_space_group_name_Hall 'F -4 2 3'
_cell_length_a 6.010
_cell_length_b 6.010
_cell_length_c 6.010
_cell_angle_alpha 90.00
_cell_angle_beta 90.00
_cell_angle_gamma 90.00
loop_
_atom_site_label
_atom_site_fract_x
_atom_site_fract_y
_atom_site_fract_z
_atom_site_occupancy
V1 0.000 0.000 0.000 1
Ni1 0.000 0.000 0.500 1
Ir1 0.250 0.250 0.750 1
Pd1 0.250 0.250 0.250 1
# ΔH_f (0 K) (eV/atom): -0.149


14.
# Cs2AgHgI3, relaxed, DFT PBE-GGA
data_Cs2AgHgI3
_symmetry_space_group_name_H-M 'I m m m'
_symmetry_Int_Tables_number 71
_symmetry_space_group_name_Hall '-I 2 2'
_cell_length_a 5.620
_cell_length_b 5.984
_cell_length_c 19.646
_cell_angle_alpha 90.00
_cell_angle_beta 90.00
_cell_angle_gamma 90.00
loop_
_atom_site_label
_atom_site_fract_x
_atom_site_fract_y
_atom_site_fract_z
_atom_site_occupancy
Cs1 0.000 0.000 0.147 1
Ag1 0.000 0.000 0.500 1
Hg1 0.000 0.500 0.000 1
I1 0.000 0.000 0.344 1
I2 0.000 0.500 0.500 1
# VASP energy (eV per cell): -31.96


15.
# RbNdTcN3, relaxed, DFT PBE-GGA
data_RbNdTcN3
_symmetry_space_group_name_H-M 'C 1 2/m 1'
_symmetry_Int_Tables_number 12
_symmetry_space_group_name_Hall '-C 2y'
_cell_length_a 13.827
_cell_length_b 3.945
_cell_length_c 8.196
_cell_angle_alpha 90.00
_cell_angle_beta 104.87
_cell_angle_gamma 90.00
loop_
_atom_site_label
_atom_site_fract_x
_atom_site_fract_y
_atom_site_fract_z
_atom_site_occupancy
Rb1 0.139 0.000 0.070 1
Nd1 0.161 0.000 0.579 1
Tc1 0.005 0.500 0.337 1
N1 0.011 0.000 0.337 1
N2 0.129 0.500 0.781 1
N3 0.156 0.500 0.379 1
# VASP energy (eV per cell): -173.50


16.
# SrPm4Sn5, relaxed, DFT PBE-GGA
data_SrPm4Sn5
_symmetry_space_group_name_H-M 'P 4/m m m'
_symmetry_Int_Tables_number 123
_symmetry_space_group_name_Hall '-P 4 2'
_cell_length_a 3.553
_cell_length_b 3.553
_cell_length_c 22.860
_cell_angle_alpha 90.00
_cell_angle_beta 90.00
_cell_angle_gamma 90.00
loop_
_atom_site_label
_atom_site_fract_x
_atom_site_fract_y
_atom_site_fract_z
_atom_site_occupancy
Sr1 0.000 0.000 0.000 1
Pm1 0.000 0.000 0.205 1
Pm2 0.000 0.000 0.402 1
Sn1 0.500 0.500 0.107 1
Sn2 0.500 0.500 0.303 1
Sn3 0.500 0.500 0.500 1
# ΔH_f (0 K) (eV/atom): -0.660


17.
# K2RbUCl8, relaxed, DFT PBE-GGA
data_K2RbUCl8
_symmetry_space_group_name_H-M 'P -1'
_symmetry_Int_Tables_number 2
_symmetry_space_group_name_Hall '-P 1'
_cell_length_a 6.079
_cell_length_b 8.039
_cell_length_c 9.864
_cell_angle_alpha 89.96
_cell_angle_beta 89.98
_cell_angle_gamma 68.63
loop_
_atom_site_label
_atom_site_fract_x
_atom_site_fract_y
_atom_site_fract_z
_atom_site_occupancy
K1 0.002 0.000 0.279 1
Rb1 0.500 0.500 0.500 1
U1 0.500 0.500 0.000 1
Cl1 0.049 0.236 0.501 1
Cl2 0.077 0.722 0.000 1
Cl3 0.419 0.310 0.185 1
Cl4 0.419 0.310 0.815 1
# VASP energy (eV per cell): -50.44


18.
# ScZn2Ru2, relaxed, DFT PBE-GGA
data_ScZn2Ru2
_symmetry_space_group_name_H-M 'P 4/m b m'
_symmetry_Int_Tables_number 127
_symmetry_space_group_name_Hall '-P 4 2ab'
_cell_length_a 7.068
_cell_length_b 7.068
_cell_length_c 3.155
_cell_angle_alpha 90.00
_cell_angle_beta 90.00
_cell_angle_gamma 90.00
loop_
_atom_site_label
_atom_site_fract_x
_atom_site_fract_y
_atom_site_fract_z
_atom_site_occupancy
Sc1 0.000 0.000 0.000 1
Zn1 0.165 0.335 0.500 1
Ru1 0.132 0.632 0.000 1
# Energy above the most stable polymorph in this dataset (meV per atom): 74
# ΔH_f (0 K) (eV/atom): -0.086


19.
# KIrRu, relaxed, DFT PBE-GGA
data_KIrRu
_symmetry_space_group_name_H-M 'P 63/m m c'
_symmetry_Int_Tables_number 194
_symmetry_space_group_name_Hall '-P 6c 2c'
_cell_length_a 4.1034
_cell_length_b 4.1034
_cell_length_c 11.1296
_cell_angle_alpha 90.00
_cell_angle_beta 90.00
_cell_angle_gamma 120.00
loop_
_atom_site_label
_atom_site_fract_x
_atom_site_fract_y
_atom_site_fract_z
_atom_site_occupancy
K1 0.0000 0.0000 0.0000 1
Ir1 0.3333 0.6667 0.2500 1
Ru1 0.3333 0.6667 0.7500 1
# Energy above the most stable polymorph in this dataset (meV per atom): 344
# ΔH_f (0 K) (eV/atom): 0.786


20.
# VPt3W, relaxed, DFT PBE-GGA
data_VPt3W
_symmetry_space_group_name_H-M 'P -1'
_symmetry_Int_Tables_number 2
_symmetry_space_group_name_Hall '-P 1'
_cell_length_a 4.766
_cell_length_b 5.224
_cell_length_c 6.472
_cell_angle_alpha 97.04
_cell_angle_beta 97.70
_cell_angle_gamma 95.73
loop_
_atom_site_label
_atom_site_fract_x
_atom_site_fract_y
_atom_site_fract_z
_atom_site_occupancy
V1 0.044 0.100 0.357 1
Pt1 0.122 0.418 0.721 1
Pt2 0.236 0.865 0.018 1
Pt3 0.418 0.747 0.484 1
W1 0.338 0.385 0.125 1
# Energy above the most stable polymorph in this dataset (meV per atom): 0
# ΔH_f (0 K) (eV/atom): -0.279